DFT (PBE) results for a relaxed structure of CuAgF3. Values from VASP.

```
&SYSTEM
  ibrav = 0, nat = 10, ntyp = 3
/
ATOMIC_SPECIES
F 19.00 F.upf
Cu 63.55 Cu.upf
Ag 107.87 Ag.upf
CELL_PARAMETERS angstrom
-3.1030 4.5900 -2.9436
-5.1908 2.9780 1.8837
-0.5943 5.9968 1.7454
ATOMIC_POSITIONS angstrom
F -4.5915 5.2501 2.1420
F -4.0827 8.2728 2.1469
F -4.2966 8.3147 -1.4564
F -6.7990 6.5771 0.4802
F -2.0891 6.9876 0.2053
F -4.8055 5.2920 -1.4614
Cu -1.4310 2.1839 0.1104
Cu -7.4572 11.3809 0.5752
Ag -5.7182 8.7269 0.4410
Ag -3.1699 4.8379 0.2445
```

Values from the calculation:
Density of states at the Fermi level: 13.4 states/eV/cell
E_form (uncorrected): -29.46 kcal/mol of atoms
Relative energy among the computed polymorphs: 0.035 eV/atom
Volume: 14.2 A^3/atom
Space group: R-3